[1]
Material: HfIn2Au
Method: DFT, PBE
State: relaxed

## Properties
Energy above the lowest structure with this stoichiometry: 125.2 meV/atom
Fermi-level density of states: 0.52 states/eV per atom
E_tot: -4.79 eV per atom
Size of the total moment: 0.0000 μB/atom
Formation enthalpy at 0 K: -0.109 eV per atom

Lattice parameters (Å, degrees): 3.290 3.290 7.784 90.00 90.00 90.00
Fractional coordinates of all 4 atoms:
Hf1 0.000 0.000 0.000
In1 0.500 0.500 0.264
In2 0.500 0.500 0.736
Au1 0.000 0.000 0.500



[2]
Material: HoPaCdTc
Method: DFT, PBE
State: relaxed

## Properties
Fermi-level density of states: 0.82 states/eV per atom
E_tot: -6.29 eV per atom
Size of the total moment: 0.0000 μB/atom
Formation enthalpy at 0 K: 0.048 eV per atom

Lattice parameters (Å, degrees): 5.042 5.042 5.042 60.00 60.00 60.00
Fractional coordinates of all 4 atoms:
Ho1 0.000 0.000 0.000
Pa1 0.500 0.500 0.500
Cd1 0.750 0.750 0.750
Tc1 0.250 0.250 0.250



[3]
Material: Sc2SiSe
Method: DFT, PBE
State: relaxed

## Properties
Energy above the lowest structure with this stoichiometry: 611.5 meV/atom
Formation energy (no corrections): -2.555 eV per formula unit
Fermi-level density of states: 0.00 states/eV per atom
E_tot: -6.03 eV per atom
Size of the total moment: 0.0000 μB/atom

Lattice parameters (Å, degrees): 7.970 7.970 7.970 30.14 30.14 30.14
Fractional coordinates of all 4 atoms:
Sc1 0.108 0.108 0.108
Sc2 0.892 0.892 0.892
Si1 0.500 0.500 0.500
Se1 0.000 0.000 0.000



[4]
Material: TlSbPb
Method: DFT, PBE
State: relaxed

## Properties
Energy above the lowest structure with this stoichiometry: 0.0 meV/atom
Formation energy (no corrections): -0.094 eV per formula unit
Fermi-level density of states: 0.29 states/eV per atom
E_tot: -3.43 eV per atom
Size of the total moment: 0.0000 μB/atom

Lattice parameters (Å, degrees): 7.148 5.619 9.526 90.00 90.00 90.00
Fractional coordinates of all 12 atoms:
Tl1 0.014 0.250 0.216
Tl2 0.486 0.750 0.716
Tl3 0.514 0.250 0.284
Tl4 0.986 0.750 0.784
Sb1 0.245 0.250 0.913
Sb2 0.255 0.750 0.413
Sb3 0.745 0.250 0.587
Sb4 0.755 0.750 0.087
Pb1 0.187 0.250 0.578
Pb2 0.313 0.750 0.078
Pb3 0.687 0.250 0.922
Pb4 0.813 0.750 0.422



[5]
Material: Pu2HAu
Method: DFT, PBE
State: relaxed

## Properties
Energy above the lowest structure with this stoichiometry: 411.1 meV/atom
Fermi-level density of states: 2.09 states/eV per atom
E_tot: -8.67 eV per atom
Size of the total moment: 0.0490 μB/atom

Lattice parameters (Å, degrees): 5.708 5.708 5.708 38.61 38.61 38.61
Fractional coordinates of all 4 atoms:
Pu1 0.201 0.201 0.201
Pu2 0.799 0.799 0.799
H1 0.500 0.500 0.500
Au1 0.000 0.000 0.000



[6]
Material: DyTm2Zn
Method: DFT, PBE
State: relaxed

## Properties
Energy above the lowest structure with this stoichiometry: 96.2 meV/atom
Fermi-level density of states: 0.87 states/eV per atom
E_tot: -3.77 eV per atom
Size of the total moment: 0.0000 μB/atom
Formation enthalpy at 0 K: -0.070 eV per atom

Lattice parameters (Å, degrees): 10.404 10.404 10.404 19.44 19.44 19.44
Fractional coordinates of all 4 atoms:
Dy1 0.000 0.000 0.000
Tm1 0.239 0.239 0.239
Tm2 0.761 0.761 0.761
Zn1 0.500 0.500 0.500



[7]
Material: Ho2TmFe
Method: DFT, PBE
State: relaxed

## Properties
Energy above the lowest structure with this stoichiometry: 11.0 meV/atom
Fermi-level density of states: 0.92 states/eV per atom
E_tot: -5.54 eV per atom
Size of the total moment: 0.0001 μB/atom
Formation enthalpy at 0 K: -0.020 eV per atom

Lattice parameters (Å, degrees): 6.146 6.146 8.981 90.00 90.00 144.39
Fractional coordinates of all 8 atoms:
Ho1 0.143 0.857 0.568
Ho2 0.143 0.857 0.932
Ho3 0.857 0.143 0.068
Ho4 0.857 0.143 0.432
Tm1 0.419 0.581 0.750
Tm2 0.581 0.419 0.250
Fe1 0.242 0.758 0.250
Fe2 0.758 0.242 0.750



[8]
Material: Zn2OsPb
Method: DFT, PBE
State: relaxed

## Properties
Fermi-level density of states: 0.51 states/eV per atom
E_tot: -3.88 eV per atom
Size of the total moment: 0.0000 μB/atom
Formation enthalpy at 0 K: 0.494 eV per atom

Lattice parameters (Å, degrees): 5.035 5.035 5.035 132.61 132.61 69.27
Fractional coordinates of all 4 atoms:
Zn1 0.000 0.000 0.000
Zn2 0.750 0.250 0.500
Os1 0.250 0.750 0.500
Pb1 0.500 0.500 0.000